Li8CdHg6 | PBE-GGA | optimized geometry

* SG: R-3
* formation energy: -3.41 eV per formula unit

Cell and atoms, written as POSCAR:
```
Li8CdHg6
1.0
4.077 2.354 5.609
-4.077 2.354 5.609
0.000 -4.708 5.609
Li Cd Hg
8 1 6
Direct
0.079 0.703 0.381 Li
0.165 0.165 0.165 Li
0.297 0.619 0.921 Li
0.381 0.079 0.703 Li
0.619 0.921 0.297 Li
0.703 0.381 0.079 Li
0.835 0.835 0.835 Li
0.921 0.297 0.619 Li
0.500 0.500 0.500 Cd
0.085 0.446 0.791 Hg
0.209 0.915 0.554 Hg
0.446 0.791 0.085 Hg
0.554 0.209 0.915 Hg
0.791 0.085 0.446 Hg
0.915 0.554 0.209 Hg
```

KZnC2 | PBE-GGA | optimized geometry

* SG: I4_1/amd
* formation energy: 6.66 eV per formula unit

Cell and atoms, written as POSCAR:
```
KZnC2
1.0
4.262 0.000 0.000
0.000 4.262 0.000
0.000 0.000 13.866
K Zn C
4 4 8
Direct
0.000 0.250 0.375 K
0.000 0.750 0.625 K
0.500 0.250 0.125 K
0.500 0.750 0.875 K
0.000 0.250 0.875 Zn
0.000 0.750 0.125 Zn
0.500 0.250 0.625 Zn
0.500 0.750 0.375 Zn
0.000 0.000 0.000 C
0.000 0.500 0.000 C
0.250 0.250 0.750 C
0.250 0.750 0.250 C
0.500 0.000 0.500 C
0.500 0.500 0.500 C
0.750 0.250 0.750 C
0.750 0.750 0.250 C
```

InCoHgGe2 | PBE-GGA | optimized geometry

* SG: P4/mmm
* formation energy: 0.44 eV per formula unit

Cell and atoms, written as POSCAR:
```
InCoHgGe2
1.0
4.551 0.000 0.000
0.000 4.551 0.000
0.000 0.000 5.127
In Co Hg Ge
1 1 1 2
Direct
0.000 0.000 0.000 In
0.000 0.000 0.500 Co
0.500 0.500 0.000 Hg
0.000 0.500 0.500 Ge
0.500 0.000 0.500 Ge
```

Sr2ZnIn6Au | PBE-GGA | optimized geometry

* SG: Pmmn
* formation energy: -2.41 eV per formula unit

Cell and atoms, written as POSCAR:
```
Sr2ZnIn6Au
1.0
7.995 0.000 0.000
0.000 9.490 0.000
0.000 0.000 7.561
Sr Zn In Au
4 2 12 2
Direct
0.250 0.002 0.239 Sr
0.250 0.498 0.239 Sr
0.750 0.502 0.761 Sr
0.750 0.998 0.761 Sr
0.250 0.750 0.541 Zn
0.750 0.250 0.459 Zn
0.059 0.750 0.918 In
0.063 0.250 0.569 In
0.250 0.509 0.738 In
0.250 0.991 0.738 In
0.437 0.250 0.569 In
0.441 0.750 0.918 In
0.559 0.250 0.082 In
0.563 0.750 0.431 In
0.750 0.009 0.262 In
0.750 0.491 0.262 In
0.937 0.750 0.431 In
0.941 0.250 0.082 In
0.250 0.250 0.927 Au
0.750 0.750 0.073 Au
```

Hf2Hg2N | PBE-GGA | optimized geometry

* SG: P4/mbm
* E_form (uncorrected): -0.490 eV/atom
* energy relative to the lowest polymorph listed for this composition: 0.225 eV/atom

Cell and atoms, written as POSCAR:
```
Hf2Hg2N
1.0
6.026 0.000 0.000
0.000 6.026 0.000
0.000 0.000 5.294
Hf Hg N
4 4 2
Direct
0.179 0.321 0.000 Hf
0.321 0.821 0.000 Hf
0.679 0.179 0.000 Hf
0.821 0.679 0.000 Hf
0.164 0.664 0.500 Hg
0.336 0.164 0.500 Hg
0.664 0.836 0.500 Hg
0.836 0.336 0.500 Hg
0.000 0.000 0.000 N
0.500 0.500 0.000 N
```

One value per record, in order, for V: 322.96; 251.82; 106.18; 573.68; 192.26 Å³ per cell.